First-principles (PBE) data for crystalline K2Pu3BiO12 at its relaxed geometry, as listed in Alexandria.

Properties
E_form (uncorrected), meV/atom: -2198
Total moment, μB per formula unit: 5.0

```
data_K2Pu3BiO12
_chemical_formula_sum 'K2 Pu3 Bi1 O12'
_symmetry_space_group_name_H-M 'P 1'
_symmetry_Int_Tables_number 1
_symmetry_space_group_name_Hall 'P 1'
_cell_length_a 7.842
_cell_length_b 7.842
_cell_length_c 7.842
_cell_angle_alpha 61.63
_cell_angle_beta 61.63
_cell_angle_gamma 61.63
loop_
_atom_site_label
_atom_site_type_symbol
_atom_site_fract_x
_atom_site_fract_y
_atom_site_fract_z
K1 K 0.170 0.170 0.170
K2 K 0.830 0.830 0.830
Pu1 Pu 0.000 0.500 0.500
Pu2 Pu 0.500 0.000 0.500
Pu3 Pu 0.500 0.500 0.000
Bi1 Bi 0.500 0.500 0.500
O1 O 0.147 0.579 0.579
O2 O 0.197 0.197 0.560
O3 O 0.197 0.560 0.197
O4 O 0.421 0.421 0.853
O5 O 0.421 0.853 0.421
O6 O 0.440 0.803 0.803
O7 O 0.560 0.197 0.197
O8 O 0.579 0.147 0.579
O9 O 0.579 0.579 0.147
O10 O 0.803 0.440 0.803
O11 O 0.803 0.803 0.440
O12 O 0.853 0.421 0.421
```